VASP calculation (SCAN) on YTaRh2 at its PBEsol-relaxed geometry.

Output
Size of the total moment (μB/f.u.): 0.00
Uncorrected energy (eV per atom): -40.86
V (Å³/cell): 137.7
DFT formation energy (meV per atom): -369

Cell: 3.8659 3.8659 9.2121 Å, 90.00 90.00 90.00°
Space group I-4m2 (No. 119)
Asymmetric unit:
Y 0.0000 0.0000 0.0000 (multiplicity 2)
Ta 0.0000 0.5000 0.7500 (multiplicity 2)
Rh 0.0000 0.0000 0.5000 (multiplicity 2)
Rh 0.0000 0.5000 0.2500 (multiplicity 2)